{"formula": "P3AuN", "functional": "GGA-PBEsol", "state": "relaxed", "e_form_raw_mev_per_atom": 2241.5, "space_group": "Pm-3m (221)", "dft_energy_ev_per_atom": -3.724, "cell": [[4.8067, 0.0000, 0.0000], [0.0000, 4.8067, 0.0000], [0.0000, 0.0000, 4.8067]], "species": ["P", "P", "P", "Au", "N"], "fractional_positions": [[0.0000, 0.0000, 0.5000], [0.0000, 0.5000, 0.0000], [0.5000, 0.0000, 0.0000], [0.0000, 0.0000, 0.0000], [0.5000, 0.5000, 0.5000]]}